[1]
A plane-wave DFT calculation with PBE was carried out for a relaxed LaDyYHg crystal.

Calculated values
* density of states at the Fermi level: 5.74 states/eV/cell
* DFT total energy: -4.1480 eV/atom
* ΔH_f (0 K): -74 meV per atom
* total moment: 0.35 μB/cell
* distance to the lowest polymorph of the same formula: 61 kJ/mol of formula units

a b c (Å): 5.520 5.520 5.520
angles (deg): 60.00 60.00 60.00
Atoms (fractional coordinates):
Y 0.250 0.250 0.250
La 0.750 0.750 0.750
Hg 0.500 0.500 0.500
Dy 0.000 0.000 0.000


[2]
A plane-wave DFT calculation with PBE was carried out for a relaxed LaDyZnHg crystal.

Calculated values
* density of states at the Fermi level: 4.76 states/eV/cell
* DFT total energy: -3.1489 eV/atom
* ΔH_f (0 K): -373 meV per atom
* total moment: 0.65 μB/cell
* distance to the lowest polymorph of the same formula: 15 kJ/mol of formula units

a b c (Å): 5.316 5.316 5.316
angles (deg): 60.00 60.00 60.00
Atoms (fractional coordinates):
Zn 0.500 0.500 0.500
La 0.250 0.250 0.250
Hg 0.000 0.000 0.000
Dy 0.750 0.750 0.750


[3]
A plane-wave DFT calculation with PBE was carried out for a relaxed LaDy2Zn2Hg2 crystal.

Calculated values
* density of states at the Fermi level: 5.18 states/eV/cell
* DFT total energy: -2.7724 eV/atom
* ΔH_f (0 K): -303 meV per atom
* total moment: 0.00 μB/cell

a b c (Å): 4.754 4.754 9.552
angles (deg): 75.59 75.59 60.00
Atoms (fractional coordinates):
La 0.000 0.000 0.000
Dy 0.126 0.126 0.621
Dy 0.874 0.874 0.379
Zn 0.592 0.592 0.225
Zn 0.408 0.408 0.775
Hg 0.745 0.745 0.765
Hg 0.255 0.255 0.235


[4]
A plane-wave DFT calculation with PBE was carried out for a relaxed LaDyZnHg crystal.

Calculated values
* density of states at the Fermi level: 4.22 states/eV/cell
* DFT total energy: -3.1866 eV/atom
* ΔH_f (0 K): -410 meV per atom
* total moment: 0.00 μB/cell
* distance to the lowest polymorph of the same formula: 0 kJ/mol of formula units

a b c (Å): 3.686 3.686 7.672
angles (deg): 90.00 90.00 90.00
Atoms (fractional coordinates):
La 0.500 0.500 0.125
Dy 0.500 0.500 0.591
Zn 0.000 0.000 0.381
Hg 0.000 0.000 0.831


[5]
A plane-wave DFT calculation with PBE was carried out for a relaxed LiDy2Hg5 crystal.

Calculated values
* density of states at the Fermi level: 4.65 states/eV/cell
* DFT total energy: -1.9053 eV/atom
* ΔH_f (0 K): -327 meV per atom
* total moment: 0.01 μB/cell

a b c (Å): 5.072 5.072 8.170
angles (deg): 108.09 108.09 90.00
Atoms (fractional coordinates):
Li 0.000 0.000 0.000
Dy 0.741 0.741 0.481
Dy 0.259 0.259 0.519
Hg 0.500 0.500 0.000
Hg 0.880 0.380 0.761
Hg 0.380 0.880 0.761
Hg 0.120 0.620 0.239
Hg 0.620 0.120 0.239


[6]
A plane-wave DFT calculation with PBE was carried out for a relaxed LiDy3Hg2 crystal.

Calculated values
* density of states at the Fermi level: 11.06 states/eV/cell
* DFT total energy: -3.0346 eV/atom
* ΔH_f (0 K): -314 meV per atom
* total moment: 0.00 μB/cell
* distance to the lowest polymorph of the same formula: 1 kJ/mol of formula units

a b c (Å): 5.224 5.224 12.900
angles (deg): 90.00 90.00 120.00
Atoms (fractional coordinates):
Li 0.333 0.667 0.672
Li 0.667 0.333 0.328
Dy 0.333 0.667 0.420
Dy 0.667 0.333 0.081
Dy 0.000 0.000 0.752
Dy 0.000 0.000 0.248
Dy 0.333 0.667 0.919
Dy 0.667 0.333 0.580
Hg 0.000 0.000 0.500
Hg 0.333 0.667 0.183
Hg 0.667 0.333 0.817
Hg 0.000 0.000 0.000


[7]
A plane-wave DFT calculation with PBE was carried out for a relaxed LiDy5Hg3 crystal.

Calculated values
* density of states at the Fermi level: 24.35 states/eV/cell
* DFT total energy: -3.1567 eV/atom
* ΔH_f (0 K): -287 meV per atom
* total moment: 0.00 μB/cell

a b c (Å): 6.702 9.048 9.047
angles (deg): 120.00 90.00 90.00
Atoms (fractional coordinates):
Li 0.000 0.000 0.000
Li 0.500 0.000 0.000
Dy 0.000 0.667 0.333
Dy 0.500 0.333 0.667
Dy 0.000 0.333 0.667
Dy 0.500 0.667 0.333
Dy 0.750 0.693 0.693
Dy 0.750 0.000 0.307
Dy 0.750 0.307 0.000
Dy 0.250 0.307 0.307
Dy 0.250 0.000 0.693
Dy 0.250 0.693 0.000
Hg 0.750 0.356 0.356
Hg 0.750 0.000 0.644
Hg 0.750 0.644 0.000
Hg 0.250 0.644 0.644
Hg 0.250 0.000 0.356
Hg 0.250 0.356 0.000


[8]
A plane-wave DFT calculation with PBE was carried out for a relaxed LiDy5Hg6 crystal.

Calculated values
* density of states at the Fermi level: 9.30 states/eV/cell
* DFT total energy: -2.6924 eV/atom
* ΔH_f (0 K): -464 meV per atom
* total moment: 0.00 μB/cell

a b c (Å): 5.183 9.020 9.020
angles (deg): 120.22 106.71 106.71
Atoms (fractional coordinates):
Dy 0.500 0.162 0.838
Dy 0.000 0.332 0.668
Dy 0.500 0.500 0.500
Dy 0.000 0.668 0.332
Dy 0.500 0.838 0.162
Hg 0.243 0.081 0.405
Hg 0.757 0.595 0.919
Hg 0.742 0.243 0.243
Hg 0.258 0.757 0.757
Hg 0.243 0.405 0.081
Hg 0.757 0.919 0.595
Li 0.000 0.000 0.000


[9]
A plane-wave DFT calculation with PBE was carried out for a relaxed LiDy4Hg5 crystal.

Calculated values
* density of states at the Fermi level: 7.56 states/eV/cell
* DFT total energy: -2.6285 eV/atom
* ΔH_f (0 K): -445 meV per atom
* total moment: 0.00 μB/cell

a b c (Å): 3.665 3.665 18.304
angles (deg): 90.00 90.00 90.00
Atoms (fractional coordinates):
Li 0.000 0.000 0.000
Dy 0.000 0.000 0.190
Dy 0.000 0.000 0.396
Dy 0.000 0.000 0.604
Dy 0.000 0.000 0.810
Hg 0.500 0.500 0.088
Hg 0.500 0.500 0.294
Hg 0.500 0.500 0.500
Hg 0.500 0.500 0.706
Hg 0.500 0.500 0.912


[10]
A plane-wave DFT calculation with PBE was carried out for a relaxed LiDy2Hg8 crystal.

Calculated values
* density of states at the Fermi level: 5.29 states/eV/cell
* DFT total energy: -1.5121 eV/atom
* ΔH_f (0 K): -282 meV per atom
* total moment: 0.00 μB/cell

a b c (Å): 4.989 6.939 8.558
angles (deg): 112.67 106.95 90.00
Atoms (fractional coordinates):
Li 0.500 0.000 0.000
Dy 0.802 0.312 0.603
Dy 0.198 0.688 0.397
Hg 0.375 0.593 0.749
Hg 0.637 0.867 0.275
Hg 0.833 0.827 0.666
Hg 0.996 0.276 0.991
Hg 0.167 0.173 0.334
Hg 0.363 0.133 0.725
Hg 0.625 0.407 0.251
Hg 0.004 0.724 0.009


[11]
A plane-wave DFT calculation with PBE was carried out for a relaxed LiDy4Hg2 crystal.

Calculated values
* density of states at the Fermi level: 7.14 states/eV/cell
* DFT total energy: -3.1737 eV/atom
* ΔH_f (0 K): -184 meV per atom
* total moment: 0.00 μB/cell
* distance to the lowest polymorph of the same formula: 0 kJ/mol of formula units

a b c (Å): 5.170 5.170 8.775
angles (deg): 72.87 72.87 60.00
Atoms (fractional coordinates):
Li 0.000 0.000 0.000
Dy 0.869 0.869 0.394
Dy 0.131 0.131 0.606
Dy 0.616 0.616 0.153
Dy 0.384 0.384 0.847
Hg 0.742 0.742 0.773
Hg 0.258 0.258 0.227


[12]
A plane-wave DFT calculation with PBE was carried out for a relaxed LiDy2Hg3 crystal.

Calculated values
* density of states at the Fermi level: 5.25 states/eV/cell
* DFT total energy: -2.4244 eV/atom
* ΔH_f (0 K): -421 meV per atom
* total moment: 0.00 μB/cell
* distance to the lowest polymorph of the same formula: 21 kJ/mol of formula units

a b c (Å): 3.627 3.627 10.802
angles (deg): 90.00 90.00 90.00
Atoms (fractional coordinates):
Li 0.500 0.500 0.500
Dy 0.500 0.500 0.824
Dy 0.500 0.500 0.176
Hg 0.000 0.000 0.000
Hg 0.000 0.000 0.648
Hg 0.000 0.000 0.352


[13]
A plane-wave DFT calculation with PBE was carried out for a relaxed LiDy8Hg2 crystal.

Calculated values
* density of states at the Fermi level: 9.96 states/eV/cell
* DFT total energy: -3.7060 eV/atom
* ΔH_f (0 K): -130 meV per atom
* total moment: 0.00 μB/cell

a b c (Å): 5.243 6.945 9.300
angles (deg): 105.12 106.37 90.00
Atoms (fractional coordinates):
Li 0.500 0.000 0.000
Dy 0.408 0.541 0.817
Dy 0.663 0.964 0.325
Dy 0.807 0.704 0.615
Dy 0.974 0.231 0.949
Dy 0.193 0.296 0.385
Dy 0.337 0.036 0.675
Dy 0.592 0.459 0.183
Dy 0.026 0.769 0.051
Hg 0.811 0.280 0.622
Hg 0.189 0.720 0.378


[14]
A plane-wave DFT calculation with PBE was carried out for a relaxed Li3Dy2Hg3 crystal.

Calculated values
* density of states at the Fermi level: 7.50 states/eV/cell
* DFT total energy: -2.2585 eV/atom
* ΔH_f (0 K): -277 meV per atom
* total moment: 0.00 μB/cell

a b c (Å): 6.471 8.471 8.470
angles (deg): 60.00 90.00 90.00
Atoms (fractional coordinates):
Li 0.750 0.000 0.264
Li 0.750 0.264 0.736
Li 0.750 0.736 0.000
Li 0.250 0.000 0.736
Li 0.250 0.736 0.264
Li 0.250 0.264 0.000
Dy 0.000 0.333 0.333
Dy 0.500 0.667 0.667
Dy 0.000 0.667 0.667
Dy 0.500 0.333 0.333
Hg 0.750 0.000 0.627
Hg 0.750 0.627 0.373
Hg 0.750 0.373 0.000
Hg 0.250 0.000 0.373
Hg 0.250 0.373 0.627
Hg 0.250 0.627 0.000


[15]
A plane-wave DFT calculation with PBE was carried out for a relaxed LiDy3Hg5 crystal.

Calculated values
* density of states at the Fermi level: 13.16 states/eV/cell
* DFT total energy: -2.3259 eV/atom
* ΔH_f (0 K): -412 meV per atom
* total moment: 0.00 μB/cell

a b c (Å): 6.212 9.001 9.001
angles (deg): 120.00 90.00 90.00
Atoms (fractional coordinates):
Li 0.000 0.000 0.000
Li 0.500 0.000 0.000
Dy 0.750 0.363 0.363
Dy 0.750 0.000 0.637
Dy 0.750 0.637 0.000
Dy 0.250 0.637 0.637
Dy 0.250 0.000 0.363
Dy 0.250 0.363 0.000
Hg 0.000 0.667 0.333
Hg 0.500 0.333 0.667
Hg 0.000 0.333 0.667
Hg 0.500 0.667 0.333
Hg 0.750 0.706 0.706
Hg 0.750 0.000 0.294
Hg 0.750 0.294 0.000
Hg 0.250 0.294 0.294
Hg 0.250 0.000 0.706
Hg 0.250 0.706 0.000


[16]
A plane-wave DFT calculation with PBE was carried out for a relaxed LiDy3Hg4 crystal.

Calculated values
* density of states at the Fermi level: 7.24 states/eV/cell
* DFT total energy: -2.5717 eV/atom
* ΔH_f (0 K): -456 meV per atom
* total moment: 0.00 μB/cell

a b c (Å): 5.144 5.144 9.019
angles (deg): 73.43 73.43 60.00
Atoms (fractional coordinates):
Dy 0.255 0.255 0.236
Dy 0.745 0.745 0.764
Dy 0.500 0.500 0.500
Hg 0.877 0.877 0.368
Hg 0.374 0.374 0.877
Hg 0.123 0.123 0.632
Hg 0.626 0.626 0.123
Li 0.000 0.000 0.000


[17]
A plane-wave DFT calculation with PBE was carried out for a relaxed LiDyHg3 crystal.

Calculated values
* density of states at the Fermi level: 4.16 states/eV/cell
* DFT total energy: -1.8611 eV/atom
* ΔH_f (0 K): -377 meV per atom
* total moment: 0.00 μB/cell
* distance to the lowest polymorph of the same formula: 0 kJ/mol of formula units

a b c (Å): 5.166 5.204 8.850
angles (deg): 89.95 73.22 89.99
Atoms (fractional coordinates):
Li 0.852 0.845 0.014
Li 0.559 0.344 0.601
Dy 0.354 0.345 0.007
Dy 0.057 0.844 0.607
Hg 0.155 0.344 0.412
Hg 0.958 0.344 0.802
Hg 0.654 0.844 0.411
Hg 0.757 0.345 0.203
Hg 0.257 0.845 0.203
Hg 0.453 0.845 0.813


[18]
A plane-wave DFT calculation with PBE was carried out for a relaxed Li5DyHg6 crystal.

Calculated values
* density of states at the Fermi level: 4.72 states/eV/cell
* DFT total energy: -1.7096 eV/atom
* ΔH_f (0 K): -378 meV per atom
* total moment: 0.00 μB/cell

a b c (Å): 4.844 6.873 7.613
angles (deg): 90.00 108.27 90.00
Atoms (fractional coordinates):
Dy 0.000 0.000 0.000
Hg 0.827 0.734 0.655
Hg 0.827 0.266 0.655
Hg 0.500 0.271 0.000
Hg 0.500 0.729 0.000
Hg 0.173 0.734 0.345
Hg 0.173 0.266 0.345
Li 0.662 0.500 0.322
Li 0.331 0.000 0.658
Li 0.000 0.500 0.000
Li 0.669 0.000 0.342
Li 0.338 0.500 0.678


[19]
A plane-wave DFT calculation with PBE was carried out for a relaxed Li2DyHg9 crystal.

Calculated values
* density of states at the Fermi level: 3.36 states/eV/cell
* DFT total energy: -1.1542 eV/atom
* ΔH_f (0 K): -225 meV per atom
* total moment: 0.00 μB/cell

a b c (Å): 4.542 4.542 13.400
angles (deg): 90.00 90.00 90.00
Atoms (fractional coordinates):
Li 0.000 0.000 0.340
Li 0.000 0.000 0.660
Dy 0.000 0.000 0.000
Hg 0.500 0.500 0.000
Hg 0.500 0.500 0.337
Hg 0.500 0.500 0.663
Hg 0.500 0.000 0.175
Hg 0.500 0.000 0.500
Hg 0.500 0.000 0.825
Hg 0.000 0.500 0.175
Hg 0.000 0.500 0.500
Hg 0.000 0.500 0.825


[20]
A plane-wave DFT calculation with PBE was carried out for a relaxed LiDy5Hg4 crystal.

Calculated values
* density of states at the Fermi level: 11.75 states/eV/cell
* DFT total energy: -2.9751 eV/atom
* ΔH_f (0 K): -362 meV per atom
* total moment: 0.01 μB/cell

a b c (Å): 3.727 3.727 18.473
angles (deg): 90.00 90.00 90.00
Atoms (fractional coordinates):
Li 0.000 0.000 0.000
Dy 0.500 0.500 0.101
Dy 0.500 0.500 0.299
Dy 0.500 0.500 0.500
Dy 0.500 0.500 0.701
Dy 0.500 0.500 0.899
Hg 0.000 0.000 0.196
Hg 0.000 0.000 0.399
Hg 0.000 0.000 0.601
Hg 0.000 0.000 0.804